1.
Density functional theory data (GGA-PBE) for a relaxed structure of Mg2Al2Tc.

Output
SG = P4/mbm (127)
ΔE_f = 3.5 kcal/mol of atoms
Total magnetic moment = 0.0 μB/f.u.

a b c (Å): 6.6496 6.6496 4.1100
angles (deg): 90.00 90.00 90.00
Closest atoms and distances in Å follow each position.
Positions (direct):
Mg 0.1695 0.3305 0.0000  6 Al 2.70-2.93
Mg 0.3305 0.8305 0.0000  6 Al 2.70-2.93
Mg 0.6695 0.1695 0.0000  6 Al 2.70-2.93
Mg 0.8305 0.6695 0.0000  6 Al 2.70-2.93
Al 0.1439 0.6439 0.5000  2 Tc 2.55, 2 Mg 2.70, 1 Al 2.71
Al 0.3561 0.1439 0.5000  2 Tc 2.55, 2 Mg 2.70, 1 Al 2.71
Al 0.6439 0.8561 0.5000  2 Tc 2.55, 2 Mg 2.70, 1 Al 2.71
Al 0.8561 0.3561 0.5000  2 Tc 2.55, 2 Mg 2.70, 1 Al 2.71
Tc 0.0000 0.0000 0.5000  4 Al 2.55
Tc 0.5000 0.5000 0.5000  4 Al 2.55

=====

2.
Density functional theory data (GGA-PBE) for a relaxed structure of Na2TiCu2.

Output
SG = I4/mmm (139)
ΔE_f = 11.7 kcal/mol of atoms
Total magnetic moment = 0.9 μB/f.u.
E above lowest polymorph = 0.047 eV per atom

a b c (Å): 7.3442 7.3442 7.3442
angles (deg): 151.43 151.43 40.84
Closest atoms and distances in Å follow each position.
Positions (direct):
Na 0.2500 0.7500 0.5000  4 Na 2.56
Na 0.7500 0.2500 0.5000  4 Na 2.56
Ti 0.0000 0.0000 0.0000  8 Cu 2.82
Cu 0.4152 0.4152 0.0000  1 Cu 2.34
Cu 0.5848 0.5848 0.0000  1 Cu 2.34

=====

3.
Density functional theory data (GGA-PBE) for a relaxed structure of AlAs.

Output
SG = Cm (8)
ΔE_f = 0.1 kcal/mol of atoms
Total magnetic moment = 0.0 μB/f.u.

a b c (Å): 5.8082 5.8082 7.2808
angles (deg): 125.91 125.91 37.02
Closest atoms and distances in Å follow each position.
Positions (direct):
Al 0.0000 0.0000 0.0000  3 As 2.58-2.60, 3 Al 2.64-2.84
Al 0.0030 0.0030 0.6401  4 As 2.62-2.68, 1 Al 2.64
Al 0.2807 0.2807 0.6535  4 As 2.70-2.82, 3 Al 2.84-3.00
As 0.3844 0.3844 0.3149  1 As 2.51, 2 Al 2.62
As 0.6121 0.6121 0.3137  1 As 2.51, 4 Al 2.58-2.70
As 0.7260 0.7260 0.8884  5 Al 2.60-2.82

=====

4.
Density functional theory data (GGA-PBE) for a relaxed structure of Ba2Mg3Ga12Pd.

Output
SG = R-3m (166)
ΔE_f = -4.6 kcal/mol of atoms
Total magnetic moment = 0.0 μB/f.u.

a b c (Å): 11.1434 11.1434 11.1434
angles (deg): 35.16 35.16 35.16
Closest atoms and distances in Å follow each position.
Positions (direct):
Ba 0.1514 0.1514 0.1514  12 Ga 3.38-3.75
Ba 0.8486 0.8486 0.8486  12 Ga 3.38-3.75
Mg 0.0000 0.5000 0.5000  4 Ga 2.77
Mg 0.5000 0.0000 0.5000  4 Ga 2.77
Mg 0.5000 0.5000 0.0000  4 Ga 2.77
Ga 0.0807 0.0807 0.6702  4 Ga 2.66-2.76, 2 Mg 2.77
Ga 0.0807 0.6702 0.0807  4 Ga 2.66-2.76, 2 Mg 2.77
Ga 0.1551 0.5722 0.5722  1 Pd 2.65, 4 Ga 2.66-2.81
Ga 0.3298 0.9193 0.9193  4 Ga 2.66-2.76, 2 Mg 2.77
Ga 0.4278 0.4278 0.8449  1 Pd 2.65, 4 Ga 2.66-2.81
Ga 0.4278 0.8449 0.4278  1 Pd 2.65, 4 Ga 2.66-2.81
Ga 0.5722 0.1551 0.5722  1 Pd 2.65, 4 Ga 2.66-2.81
Ga 0.5722 0.5722 0.1551  1 Pd 2.65, 4 Ga 2.66-2.81
Ga 0.6702 0.0807 0.0807  4 Ga 2.66-2.76, 2 Mg 2.77
Ga 0.8449 0.4278 0.4278  1 Pd 2.65, 4 Ga 2.66-2.81
Ga 0.9193 0.3298 0.9193  4 Ga 2.66-2.76, 2 Mg 2.77
Ga 0.9193 0.9193 0.3298  4 Ga 2.66-2.76, 2 Mg 2.77
Pd 0.5000 0.5000 0.5000  6 Ga 2.65

=====

5.
Density functional theory data (GGA-PBE) for a relaxed structure of DyCoSi3Ni.

Output
SG = Cmcm (63)
Uncorrected formation energy = -0.390 eV/atom
Total magnetic moment = 0.0 μB/f.u.

a b c (Å): 6.8296 6.8296 5.4916
angles (deg): 90.00 90.00 128.38
Closest atoms and distances in Å follow each position.
Positions (direct):
Dy 0.2117 0.7883 0.7500  2 Si 2.75
Dy 0.7883 0.2117 0.2500  2 Si 2.75
Co 0.0430 0.9570 0.2500  5 Si 2.12-2.27
Co 0.9570 0.0430 0.7500  5 Si 2.12-2.27
Si 0.2157 0.7843 0.2500  1 Ni 2.12, 1 Co 2.12
Si 0.2905 0.2905 0.0000  2 Co 2.27, 2 Ni 2.31, 1 Si 2.49
Si 0.2905 0.2905 0.5000  2 Co 2.27, 2 Ni 2.31, 1 Si 2.49
Si 0.7095 0.7095 0.0000  2 Co 2.27, 2 Ni 2.31, 1 Si 2.49
Si 0.7095 0.7095 0.5000  2 Co 2.27, 2 Ni 2.31, 1 Si 2.49
Si 0.7843 0.2157 0.7500  1 Ni 2.12, 1 Co 2.12
Ni 0.3882 0.6118 0.2500  5 Si 2.12-2.31
Ni 0.6118 0.3882 0.7500  5 Si 2.12-2.31

=====

6.
Density functional theory data (GGA-PBE) for a relaxed structure of Zr2PRu.

Output
SG = I-4m2 (119)
ΔE_f = -15.1 kcal/mol of atoms
Total magnetic moment = 0.0 μB/f.u.

a b c (Å): 5.6330 5.6330 5.6330
angles (deg): 140.97 140.97 56.39
Closest atoms and distances in Å follow each position.
Positions (direct):
Zr 0.0000 0.0000 0.0000  4 Ru 2.66
Zr 0.7500 0.2500 0.5000  4 P 2.66
P 0.2500 0.7500 0.5000  4 Zr 2.66
Ru 0.5000 0.5000 0.0000  4 Zr 2.66

=====

7.
Density functional theory data (GGA-PBE) for a relaxed structure of Fe2TeCl8.

Output
SG = C2/m (12)
Uncorrected formation energy = -0.637 eV/atom
Total magnetic moment = 9.9 μB/f.u.

a b c (Å): 7.6574 7.6574 7.8424
angles (deg): 91.51 91.51 58.63
Closest atoms and distances in Å follow each position.
Positions (direct):
Fe 0.1798 0.1798 0.3124  4 Cl 2.15-2.33
Fe 0.8202 0.8202 0.6876  4 Cl 2.15-2.33
Te 0.0000 0.0000 0.0000  4 Cl 2.61
Cl 0.1567 0.7035 0.7733  1 Fe 2.33
Cl 0.2012 0.2012 0.5851  1 Fe 2.15
Cl 0.2965 0.8433 0.2267  1 Fe 2.33
Cl 0.3111 0.3111 0.1609  1 Fe 2.15
Cl 0.6889 0.6889 0.8391  1 Fe 2.15
Cl 0.7035 0.1567 0.7733  1 Fe 2.33
Cl 0.7988 0.7988 0.4149  1 Fe 2.15
Cl 0.8433 0.2965 0.2267  1 Fe 2.33

=====

8.
Density functional theory data (GGA-PBE) for a relaxed structure of CsTmSnF6.

Output
SG = P1 (1)
Uncorrected formation energy = -3.218 eV/atom
Total magnetic moment = 0.0 μB/f.u.

a b c (Å): 6.0250 6.2192 6.3799
angles (deg): 60.84 89.74 89.45
Closest atoms and distances in Å follow each position.
Positions (direct):
Cs 0.0000 0.0000 0.0000  6 F 3.04-3.07
Tm 0.4993 0.6656 0.6690  6 F 2.15-2.17
Sn 0.5003 0.3351 0.3299  6 F 2.38-2.48
F 0.2981 0.4101 0.9623  1 Tm 2.15
F 0.3036 0.6315 0.4025  1 Tm 2.17, 1 Sn 2.41
F 0.3114 0.9834 0.6273  1 Tm 2.17, 1 Sn 2.38
F 0.6871 0.3880 0.6301  1 Tm 2.17, 1 Sn 2.38
F 0.6952 0.9644 0.4018  1 Tm 2.17, 1 Sn 2.41
F 0.7006 0.6300 0.9610  1 Tm 2.15

=====

9.
Density functional theory data (GGA-PBE) for a relaxed structure of MgSiN2.

Output
SG = P3m1 (156)
Uncorrected formation energy = -0.823 eV/atom
Total magnetic moment = 0.0 μB/f.u.

a b c (Å): 3.1086 3.1086 5.3060
angles (deg): 90.00 90.00 120.00
Closest atoms and distances in Å follow each position.
Positions (direct):
Mg 0.0000 0.0000 0.0000  4 N 1.97-2.18
Si 0.6667 0.3333 0.5390  1 N 1.65
N 0.0000 0.0000 0.4111  3 Si 1.92
N 0.6667 0.3333 0.8491  1 Si 1.65